1.
VASP calculation (PBE) on a geometry-optimized Al2CdPb structure.

Calculated values
Relative energy among the computed polymorphs (eV/f.u.): 0.40
Energy relative to the elements (meV/atom): 250

Unit cell a=5.346 b=5.346 c=5.346 alpha=128.12 beta=128.12 gamma=76.42
Fractional coordinates of all 4 atoms:
Al 0.250 0.750 0.500
Cd 0.500 0.500 0.000
Pb 0.750 0.250 0.500
Al 0.000 0.000 0.000



2.
VASP calculation (PBE) on a geometry-optimized AlCdPb structure.

Calculated values
Relative energy among the computed polymorphs (eV/f.u.): 0.07
Energy relative to the elements (meV/atom): 196

Unit cell a=6.214 b=6.214 c=6.214 alpha=150.36 beta=141.10 gamma=49.65
Fractional coordinates of all 3 atoms:
Al 0.984 0.984 0.000
Cd 0.355 0.355 0.000
Pb 0.661 0.661 0.000



3.
VASP calculation (PBE) on a geometry-optimized Al2CdPb structure.

Calculated values
Relative energy among the computed polymorphs (eV/f.u.): 0.00
Energy relative to the elements (meV/atom): 149

Unit cell a=3.203 b=3.203 c=8.785 alpha=90.00 beta=90.00 gamma=89.99
Fractional coordinates of all 4 atoms:
Al 0.000 0.000 0.039
Cd 0.000 0.000 0.463
Al 0.500 0.500 0.227
Pb 0.500 0.500 0.771



4.
VASP calculation (PBE) on a geometry-optimized RbAlCd2Pb structure.

Calculated values
Energy relative to the elements (meV/atom): 1068

Unit cell a=6.055 b=6.068 c=6.055 alpha=90.00 beta=90.00 gamma=90.00
Fractional coordinates of all 5 atoms:
Pb 0.500 0.500 0.500
Cd 0.500 0.000 0.000
Al 0.000 0.500 0.000
Cd 0.000 0.000 0.500
Rb 0.000 0.000 0.000



5.
VASP calculation (PBE) on a geometry-optimized AlCdRuPb2 structure.

Calculated values
Energy relative to the elements (meV/atom): 1333

Unit cell a=5.616 b=4.872 c=5.616 alpha=90.00 beta=90.00 gamma=90.00
Each line ends with the local moment (μB).
Fractional coordinates of all 5 atoms:
Al 0.000 0.500 0.000  -0.01
Pb 0.500 0.000 0.000  -0.04
Cd 0.000 0.000 0.000  0.01
Pb 0.000 0.000 0.500  -0.03
Ru 0.500 0.500 0.500  2.12



6.
VASP calculation (PBE) on a geometry-optimized Al2CdPbSe structure.

Calculated values
ΔE_f (raw) (kJ/mol of atoms): 64.8

Unit cell a=5.463 b=5.463 c=5.473 alpha=90.00 beta=90.00 gamma=90.00
Fractional coordinates of all 5 atoms:
Cd 0.000 0.000 0.500
Al 0.500 0.000 0.000
Se 0.500 0.500 0.500
Pb 0.000 0.000 0.000
Al 0.000 0.500 0.000



7.
VASP calculation (PBE) on a geometry-optimized TaAlCd2Pb structure.

Calculated values
Energy relative to the elements (meV/atom): 878

Unit cell a=5.388 b=5.110 c=5.388 alpha=90.00 beta=90.00 gamma=90.00
Fractional coordinates of all 5 atoms:
Ta 0.000 0.000 0.000
Al 0.000 0.500 0.000
Cd 0.500 0.000 0.000
Pb 0.500 0.500 0.500
Cd 0.000 0.000 0.500



8.
VASP calculation (PBE) on a geometry-optimized Y2AlCdPb structure.

Calculated values
Energy relative to the elements (meV/atom): 199

Unit cell a=5.654 b=4.818 c=5.654 alpha=90.00 beta=90.00 gamma=90.00
Fractional coordinates of all 5 atoms:
Y 0.500 0.000 0.000
Y 0.000 0.000 0.500
Pb 0.500 0.500 0.500
Cd 0.000 0.000 0.000
Al 0.000 0.500 0.000



9.
VASP calculation (PBE) on a geometry-optimized ZrAlCd2Pb structure.

Calculated values
Energy relative to the elements (meV/atom): 753

Unit cell a=5.536 b=5.287 c=5.536 alpha=90.00 beta=90.00 gamma=90.00
Fractional coordinates of all 5 atoms:
Pb 0.500 0.500 0.500
Cd 0.000 0.000 0.500
Zr 0.000 0.000 0.000
Cd 0.500 0.000 0.000
Al 0.000 0.500 0.000



10.
VASP calculation (PBE) on a geometry-optimized Al2CdPd structure.

Calculated values
Energy relative to the elements (meV/atom): -298

Unit cell a=3.097 b=3.097 c=8.850 alpha=82.93 beta=82.93 gamma=56.41
Fractional coordinates of all 4 atoms:
Cd 0.606 0.606 0.499
Pd 0.631 0.631 0.001
Al 0.263 0.263 0.219
Al 0.999 0.999 0.782



11.
VASP calculation (PBE) on a geometry-optimized Al3CdPd12 structure.

Calculated values
Energy relative to the elements (meV/atom): -510

Unit cell a=3.947 b=3.947 c=15.668 alpha=90.00 beta=90.00 gamma=90.00
Fractional coordinates of all 16 atoms:
Pd 0.500 0.500 0.256
Pd 0.000 0.500 0.134
Pd 0.000 0.500 0.378
Pd 0.500 0.000 0.134
Pd 0.500 0.000 0.866
Pd 0.500 0.500 0.500
Al 0.000 0.000 0.253
Pd 0.500 0.000 0.622
Pd 0.500 0.000 0.378
Pd 0.500 0.500 0.000
Al 0.000 0.000 0.500
Pd 0.000 0.500 0.866
Pd 0.500 0.500 0.744
Al 0.000 0.000 0.747
Pd 0.000 0.500 0.622
Cd 0.000 0.000 0.000



12.
VASP calculation (PBE) on a geometry-optimized AlCdPd14 structure.

Calculated values
Energy relative to the elements (meV/atom): -208

Unit cell a=5.642 b=5.642 c=7.793 alpha=90.00 beta=90.00 gamma=90.01
Fractional coordinates of all 16 atoms:
Pd 0.130 0.620 0.747
Pd 0.620 0.130 0.747
Pd 0.875 0.875 0.000
Pd 0.620 0.130 0.253
Pd 0.620 0.620 0.747
Pd 0.375 0.375 0.000
Al 0.375 0.375 0.500
Pd 0.375 0.875 0.000
Pd 0.130 0.130 0.747
Pd 0.875 0.375 0.500
Pd 0.130 0.130 0.253
Cd 0.875 0.875 0.500
Pd 0.875 0.375 0.000
Pd 0.375 0.875 0.500
Pd 0.620 0.620 0.253
Pd 0.130 0.620 0.253



13.
VASP calculation (PBE) on a geometry-optimized Al2CdPd structure.

Calculated values
Energy relative to the elements (meV/atom): -68

Unit cell a=7.705 b=7.705 c=6.071 alpha=50.61 beta=50.61 gamma=90.00
Fractional coordinates of all 8 atoms:
Al 0.565 0.125 0.250
Al 0.375 0.435 0.750
Pd 0.500 0.500 0.000
Pd 0.250 0.750 0.500
Al 0.875 0.815 0.750
Cd 0.000 0.000 0.000
Al 0.185 0.625 0.250
Cd 0.750 0.250 0.500



14.
VASP calculation (PBE) on a geometry-optimized Al2CdPd8 structure.

Calculated values
Relative energy among the computed polymorphs (eV/f.u.): 0.00
Energy relative to the elements (meV/atom): -541

Unit cell a=4.085 b=6.389 c=7.218 alpha=108.88 beta=106.44 gamma=90.00
Fractional coordinates of all 11 atoms:
Pd 0.319 0.071 0.639
Al 0.782 0.340 0.563
Pd 0.843 0.774 0.687
Pd 0.606 0.474 0.212
Al 0.218 0.660 0.437
Pd 0.394 0.526 0.788
Pd 0.957 0.275 0.914
Pd 0.043 0.725 0.086
Cd 0.500 0.000 0.000
Pd 0.157 0.226 0.313
Pd 0.681 0.929 0.361



15.
VASP calculation (PBE) on a geometry-optimized Al2Cd2Pd structure.

Calculated values
Relative energy among the computed polymorphs (eV/f.u.): 1.28
Energy relative to the elements (meV/atom): 164

Unit cell a=7.190 b=7.190 c=3.812 alpha=90.00 beta=90.00 gamma=90.00
Fractional coordinates of all 10 atoms:
Cd 0.358 0.858 0.000
Al 0.665 0.835 0.500
Al 0.165 0.665 0.500
Cd 0.142 0.358 0.000
Al 0.335 0.165 0.500
Pd 0.500 0.500 0.000
Cd 0.858 0.642 0.000
Al 0.835 0.335 0.500
Pd 0.000 0.000 0.000
Cd 0.642 0.142 0.000



16.
VASP calculation (PBE) on a geometry-optimized AlCdPd4 structure.

Calculated values
Relative energy among the computed polymorphs (eV/f.u.): 0.00
Energy relative to the elements (meV/atom): -524

Unit cell a=2.955 b=7.351 c=17.591 alpha=90.00 beta=90.00 gamma=90.00
Fractional coordinates of all 24 atoms:
Al 0.250 0.251 0.950
Pd 0.750 0.970 0.933
Pd 0.250 0.148 0.341
Cd 0.250 0.280 0.187
Cd 0.250 0.780 0.313
Al 0.250 0.751 0.550
Pd 0.750 0.852 0.659
Pd 0.250 0.608 0.945
Pd 0.750 0.352 0.841
Cd 0.750 0.220 0.687
Pd 0.250 0.040 0.798
Pd 0.750 0.392 0.055
Al 0.750 0.749 0.050
Pd 0.250 0.030 0.067
Pd 0.750 0.960 0.202
Pd 0.750 0.460 0.298
Pd 0.750 0.470 0.567
Cd 0.750 0.720 0.813
Pd 0.250 0.530 0.433
Pd 0.250 0.540 0.702
Pd 0.250 0.648 0.159
Pd 0.750 0.892 0.445
Pd 0.250 0.108 0.555
Al 0.750 0.249 0.450



17.
VASP calculation (PBE) on a geometry-optimized Al2CdPd2 structure.

Calculated values
Energy relative to the elements (meV/atom): -362

Unit cell a=4.075 b=4.075 c=6.185 alpha=70.76 beta=70.76 gamma=90.00
Fractional coordinates of all 5 atoms:
Al 0.617 0.617 0.766
Cd 0.000 0.000 0.000
Pd 0.250 0.750 0.500
Pd 0.750 0.250 0.500
Al 0.383 0.383 0.234



18.
VASP calculation (PBE) on a geometry-optimized AlCdPd4 structure.

Calculated values
Relative energy among the computed polymorphs (eV/f.u.): 1.23
Energy relative to the elements (meV/atom): -319

Unit cell a=4.177 b=4.197 c=7.566 alpha=74.23 beta=73.98 gamma=60.16
Fractional coordinates of all 6 atoms:
Pd 0.886 0.888 0.339
Pd 0.630 0.630 0.111
Al 0.000 0.000 0.000
Pd 0.114 0.112 0.661
Cd 0.500 0.500 0.500
Pd 0.370 0.370 0.889



19.
VASP calculation (PBE) on a geometry-optimized Al3CdPd4 structure.

Calculated values
Energy relative to the elements (meV/atom): -746

Unit cell a=4.380 b=4.380 c=7.818 alpha=73.73 beta=73.73 gamma=60.00
Fractional coordinates of all 8 atoms:
Cd 0.000 0.000 0.000
Al 0.251 0.251 0.248
Al 0.749 0.749 0.752
Pd 0.869 0.869 0.393
Al 0.500 0.500 0.500
Pd 0.131 0.131 0.607
Pd 0.613 0.613 0.160
Pd 0.387 0.387 0.840



20.
VASP calculation (PBE) on a geometry-optimized AlCdPd3 structure.

Calculated values
Relative energy among the computed polymorphs (eV/f.u.): 2.15
Energy relative to the elements (meV/atom): -70

Unit cell a=4.573 b=4.573 c=4.573 alpha=90.00 beta=90.00 gamma=90.00
Fractional coordinates of all 5 atoms:
Pd 0.000 0.500 0.000
Al 0.000 0.000 0.000
Cd 0.500 0.500 0.500
Pd 0.000 0.000 0.500
Pd 0.500 0.000 0.000



21.
VASP calculation (PBE) on a geometry-optimized Al2Cd2Pd7 structure.

Calculated values
Energy relative to the elements (meV/atom): -331

Unit cell a=5.887 b=5.816 c=5.887 alpha=89.99 beta=99.05 gamma=90.01
Fractional coordinates of all 11 atoms:
Cd 0.818 0.500 0.818
Cd 0.182 0.500 0.182
Pd 0.500 0.261 0.500
Pd 0.000 0.000 0.000
Pd 0.500 0.748 0.000
Al 0.285 0.000 0.715
Pd 0.000 0.748 0.500
Pd 0.500 0.252 0.000
Al 0.715 0.000 0.285
Pd 0.500 0.739 0.500
Pd 0.000 0.252 0.500



22.
VASP calculation (PBE) on a geometry-optimized Al3CdPd structure.

Calculated values
Relative energy among the computed polymorphs (eV/f.u.): 0.00
Energy relative to the elements (meV/atom): -23

Unit cell a=4.798 b=4.798 c=4.798 alpha=90.00 beta=90.00 gamma=90.00
Fractional coordinates of all 5 atoms:
Al 0.500 0.000 0.000
Al 0.000 0.000 0.500
Pd 0.000 0.000 0.000
Al 0.000 0.500 0.000
Cd 0.500 0.500 0.500



23.
VASP calculation (PBE) on a geometry-optimized AlCd2Pd2 structure.

Calculated values
Relative energy among the computed polymorphs (eV/f.u.): 0.00
Energy relative to the elements (meV/atom): -430

Unit cell a=6.529 b=6.529 c=4.276 alpha=90.00 beta=90.00 gamma=90.00
Fractional coordinates of all 10 atoms:
Cd 0.342 0.158 0.500
Al 0.500 0.500 0.000
Al 0.000 0.000 0.000
Cd 0.158 0.658 0.500
Pd 0.650 0.150 0.000
Pd 0.850 0.650 0.000
Pd 0.150 0.350 0.000
Cd 0.842 0.342 0.500
Pd 0.350 0.850 0.000
Cd 0.658 0.842 0.500



24.
VASP calculation (PBE) on a geometry-optimized AlCdPd3 structure.

Calculated values
Relative energy among the computed polymorphs (eV/f.u.): 0.00
Energy relative to the elements (meV/atom): -500

Unit cell a=5.595 b=6.899 c=8.742 alpha=82.57 beta=90.00 gamma=90.00
Fractional coordinates of all 20 atoms:
Cd 0.250 0.344 0.387
Pd 0.989 0.194 0.153
Pd 0.250 0.576 0.113
Cd 0.750 0.656 0.613
Al 0.750 0.071 0.919
Al 0.750 0.071 0.419
Pd 0.011 0.806 0.348
Pd 0.511 0.194 0.653
Pd 0.750 0.424 0.387
Cd 0.250 0.344 0.887
Pd 0.489 0.806 0.347
Pd 0.489 0.806 0.848
Pd 0.511 0.194 0.152
Al 0.250 0.929 0.081
Al 0.250 0.929 0.581
Pd 0.250 0.576 0.613
Pd 0.750 0.424 0.887
Pd 0.011 0.806 0.847
Cd 0.750 0.656 0.113
Pd 0.989 0.194 0.652



Number 1: calculated volume 92 Å³ per cell. Number 2: calculated volume 74 Å³ per cell. Number 3: calculated volume 90 Å³ per cell. Number 4: calculated volume 222 Å³ per cell. Number 5: calculated volume 154 Å³ per cell. Number 6: calculated volume 163 Å³ per cell. Number 7: calculated volume 148 Å³ per cell. Number 8: calculated volume 154 Å³ per cell. Number 9: calculated volume 162 Å³ per cell. Number 10: calculated volume 70 Å³ per cell. Number 11: calculated volume 244 Å³ per cell. Number 12: calculated volume 248 Å³ per cell. Number 13: calculated volume 159 Å³ per cell. Number 14: calculated volume 170 Å³ per cell. Number 15: calculated volume 197 Å³ per cell. Number 16: calculated volume 382 Å³ per cell. Number 17: calculated volume 91 Å³ per cell. Number 18: calculated volume 109 Å³ per cell. Number 19: calculated volume 123 Å³ per cell. Number 20: calculated volume 96 Å³ per cell. Number 21: calculated volume 199 Å³ per cell. Number 22: calculated volume 110 Å³ per cell. Number 23: calculated volume 182 Å³ per cell. Number 24: calculated volume 335 Å³ per cell.